! BaSi3Pb (PBE, optimized geometry); values from VASP
! energy relative to the lowest polymorph listed for this composition	0	meV per atom
! space group	Pm-3m, No. 221
! total DFT energy (no corrections)	-3.616	eV per atom
! formation energy without anion corrections	0.76	eV per atom
&SYSTEM
  ibrav = 0, nat = 5, ntyp = 3
/
ATOMIC_SPECIES
Ba 137.33 Ba.upf
Si 28.09 Si.upf
Pb 207.20 Pb.upf
CELL_PARAMETERS angstrom
5.4040 0.0000 0.0000
0.0000 5.4040 0.0000
0.0000 0.0000 5.4040
ATOMIC_POSITIONS angstrom
Ba 0.0000 0.0000 0.0000
Si 0.0000 2.7020 2.7020
Si 2.7020 0.0000 2.7020
Si 2.7020 2.7020 0.0000
Pb 2.7020 2.7020 2.7020